# AlCdCoIr (PBE, optimized geometry)
# Electronic total energy   -21.07 eV per cell
# Symmetry   No. 216
data_AlCdCoIr
_chemical_formula_sum 'Al1 Cd1 Co1 Ir1'
_cell_length_a 4.348
_cell_length_b 4.348
_cell_length_c 4.348
_cell_angle_alpha 60.00
_cell_angle_beta 60.00
_cell_angle_gamma 60.00
_symmetry_space_group_name_H-M 'P 1'
_symmetry_Int_Tables_number 1
loop_
_symmetry_equiv_pos_as_xyz
'x,y,z'
loop_
_atom_site_label
_atom_site_type_symbol
_atom_site_fract_x
_atom_site_fract_y
_atom_site_fract_z
_atom_site_occupancy
Co1 Co 0.750 0.750 0.750 1
Al1 Al 0.000 0.000 0.000 1
Cd1 Cd 0.500 0.500 0.500 1
Ir1 Ir 0.250 0.250 0.250 1

# HfGe2Pb (PBE, optimized geometry)
# Electronic total energy   -21.41 eV per cell
# Symmetry   No. 216
data_HfGe2Pb
_chemical_formula_sum 'Hf1 Ge2 Pb1'
_cell_length_a 5.023
_cell_length_b 5.023
_cell_length_c 5.023
_cell_angle_alpha 60.00
_cell_angle_beta 60.00
_cell_angle_gamma 60.00
_symmetry_space_group_name_H-M 'P 1'
_symmetry_Int_Tables_number 1
loop_
_symmetry_equiv_pos_as_xyz
'x,y,z'
loop_
_atom_site_label
_atom_site_type_symbol
_atom_site_fract_x
_atom_site_fract_y
_atom_site_fract_z
_atom_site_occupancy
Hf1 Hf 0.500 0.500 0.500 1
Ge1 Ge 0.000 0.000 0.000 1
Ge2 Ge 0.250 0.250 0.250 1
Pb1 Pb 0.750 0.750 0.750 1